No. 1
A plane-wave DFT calculation with PBE-GGA was carried out for an optimized crystal structure of TbHfSi2. Values from VASP.

Structure (Quantum ESPRESSO input):
```
&SYSTEM
  ibrav = 0, nat = 8, ntyp = 3
/
ATOMIC_SPECIES
Tb 158.93 Tb.upf
Hf 178.49 Hf.upf
Si 28.09 Si.upf
CELL_PARAMETERS angstrom
3.7740 0.0000 0.0000
0.0000 5.4983 0.0000
0.0000 0.0000 7.4427
ATOMIC_POSITIONS angstrom
Tb 0.0000 0.7057 0.0000
Tb 0.0000 4.7926 3.7213
Hf 1.8870 2.0527 4.7723
Hf 1.8870 3.4455 1.0510
Si 0.0000 2.1524 2.6973
Si 0.0000 3.3458 6.4186
Si 1.8870 0.6881 2.1157
Si 1.8870 4.8101 5.8370
```

## Properties
**Mass density**: 8.5 g cm⁻³
**Raw total energy**: -7.0998 eV/atom
**Offset from the most stable computed form**: 0.041 eV per atom

=====

No. 2
A plane-wave DFT calculation with PBE-GGA was carried out for an optimized crystal structure of HfSi2Tc2. Values from VASP.

Structure (Quantum ESPRESSO input):
```
&SYSTEM
  ibrav = 0, nat = 5, ntyp = 3
/
ATOMIC_SPECIES
Hf 178.49 Hf.upf
Si 28.09 Si.upf
Tc 98.00 Tc.upf
CELL_PARAMETERS angstrom
-2.0227 2.0227 4.9052
2.0227 -2.0227 4.9052
2.0227 2.0227 -4.9052
ATOMIC_POSITIONS angstrom
Hf 0.0000 0.0000 0.0000
Si 0.0000 0.0000 3.7460
Si 0.0000 0.0000 6.0644
Tc 2.0227 0.0000 2.4526
Tc 0.0000 2.0227 2.4526
```

## Properties
**Mass density**: 8.9 g cm⁻³
**Raw total energy**: -8.7732 eV/atom
**Offset from the most stable computed form**: 0.037 eV per atom

=====

No. 3
A plane-wave DFT calculation with PBE-GGA was carried out for an optimized crystal structure of Hf2Si2Tc. Values from VASP.

Structure (Quantum ESPRESSO input):
```
&SYSTEM
  ibrav = 0, nat = 5, ntyp = 3
/
ATOMIC_SPECIES
Hf 178.49 Hf.upf
Si 28.09 Si.upf
Tc 98.00 Tc.upf
CELL_PARAMETERS angstrom
-1.6903 1.6903 7.6849
1.6903 -1.6903 7.6849
1.6903 1.6903 -7.6849
ATOMIC_POSITIONS angstrom
Hf 0.0000 0.0000 1.5556
Hf 0.0000 0.0000 13.8142
Si 1.6903 0.0000 3.8424
Si 0.0000 1.6903 3.8424
Tc 0.0000 0.0000 7.6849
```

## Properties
**Mass density**: 9.7 g cm⁻³
**Raw total energy**: -8.5157 eV/atom
**Offset from the most stable computed form**: 0.523 eV per atom

=====

Please write out number 3 again, unchanged.
A plane-wave DFT calculation with PBE-GGA was carried out for an optimized crystal structure of Hf2Si2Tc. Values from VASP.

Structure (Quantum ESPRESSO input):
```
&SYSTEM
  ibrav = 0, nat = 5, ntyp = 3
/
ATOMIC_SPECIES
Hf 178.49 Hf.upf
Si 28.09 Si.upf
Tc 98.00 Tc.upf
CELL_PARAMETERS angstrom
-1.6903 1.6903 7.6849
1.6903 -1.6903 7.6849
1.6903 1.6903 -7.6849
ATOMIC_POSITIONS angstrom
Hf 0.0000 0.0000 1.5556
Hf 0.0000 0.0000 13.8142
Si 1.6903 0.0000 3.8424
Si 0.0000 1.6903 3.8424
Tc 0.0000 0.0000 7.6849
```

## Properties
**Mass density**: 9.7 g cm⁻³
**Raw total energy**: -8.5157 eV/atom
**Offset from the most stable computed form**: 0.523 eV per atom

=====

Among the records above, which one has the highest offset from the most stable computed form?
Hf2Si2Tc